1.
Here is Si2Te after structural relaxation from Alexandria. Energies are from PBE-GGA.

Output
**Size of the total moment**: 0.0 μB per formula unit
**Energy above the lowest structure with this stoichiometry**: 716 meV/atom
**ρ**: 4546 kg/m³
**ΔE_f (raw)**: 0.739 eV per atom

```
Si2Te
1.0
2.964 0.000 0.000
-1.482 2.567 0.000
0.000 0.000 26.468
Si Te
6 3
direct
0.000 0.000 0.045
0.000 0.000 0.955
0.333 0.667 0.629
0.333 0.667 0.721
0.667 0.333 0.279
0.667 0.333 0.371
0.000 0.000 0.500
0.333 0.667 0.828
0.667 0.333 0.172
```


2.
Here is Dy2Tm2ZnGa4 after structural relaxation from Alexandria. Energies are from PBE-GGA.

Output
**Size of the total moment**: 0.0 μB per formula unit
**Energy of formation**: -0.257 eV per atom
**ρ**: 8050 kg/m³

```
Dy2Tm2ZnGa4
1.0
-3.459 3.459 4.342
3.459 -3.459 4.342
3.459 3.459 -4.342
Dy Tm Zn Ga
2 2 1 4
direct
0.189 0.189 0.000
0.811 0.811 0.000
0.250 0.750 0.500
0.750 0.250 0.500
0.500 0.500 0.000
0.253 0.253 0.507
0.253 0.747 0.000
0.747 0.253 0.000
0.747 0.747 0.493
```


3.
Here is VPdW2N after structural relaxation from Alexandria. Energies are from PBE-GGA.

Output
**Size of the total moment**: 0.0 μB per formula unit
**ρ**: 13333 kg/m³
**ΔE_f (raw)**: -0.184 eV per atom

```
VPdW2N
1.0
4.108 0.000 0.000
0.000 4.108 0.000
0.000 0.000 3.978
V Pd W N
1 1 2 1
direct
0.000 0.000 0.000
0.500 0.500 0.000
0.000 0.500 0.500
0.500 0.000 0.500
0.000 0.000 0.500
```